BaCrIO2 | PBE with a Hubbard U | optimized geometry

```
BaCrIO2
1.0
-3.2461 -2.4335 -1.8344
-1.0824 -1.5846 4.0176
-3.3408 3.9580 0.6610
I Cr Ba O
1 1 1 2
Direct
0.0000 0.0000 0.5000 I
0.0000 0.0000 0.0000 Cr
0.5000 0.5000 0.5000 Ba
0.0000 0.5000 0.0000 O
0.5000 0.0000 0.0000 O
```

Calculated values
N(E_F) ... 2.34 states/eV/f.u.
Magnetization ... 2.99 μB/cell
Energy above the most stable polymorph in this dataset ... 803 meV/atom